No. 1
Below is a relaxed Rb4Ac3AsO8 crystal, with properties calculated at the GGA-PBE level.

Cell: 7.5163 7.5163 7.9246 Å, 118.32 118.32 59.98°
Atoms (fractional coordinates):
Rb 0.0000 0.0000 0.0000
Rb 0.0000 0.5000 0.0000
Rb 0.5000 0.0000 0.0000
Rb 0.5000 0.5000 0.0000
Ac 0.0000 0.0000 0.5000
Ac 0.0000 0.5000 0.5000
Ac 0.5000 0.0000 0.5000
As 0.5000 0.5000 0.5000
O 0.2294 0.2294 0.6885
O 0.2496 0.7163 0.6822
O 0.2828 0.2828 0.3170
O 0.2837 0.7504 0.3178
O 0.7163 0.2496 0.6822
O 0.7172 0.7172 0.6830
O 0.7504 0.2837 0.3178
O 0.7706 0.7706 0.3115

**Formation energy (no corrections)**: -33.54 eV per formula unit
**Raw total energy**: -5.878 eV per atom
**M_tot**: 0.0 μB per cell

No. 2
Below is a relaxed LiEr2InS5 crystal, with properties calculated at the GGA-PBE level.

Cell: 8.5662 8.5662 11.2865 Å, 90.00 90.00 154.01°
Atoms (fractional coordinates):
Li 0.2231 0.7769 0.5000
Li 0.7769 0.2231 0.0000
Er 0.1252 0.8748 0.1614
Er 0.1280 0.8720 0.7853
Er 0.8720 0.1280 0.2853
Er 0.8748 0.1252 0.6614
In 0.4208 0.5792 0.9575
In 0.5792 0.4208 0.4575
S 0.0354 0.9646 0.5726
S 0.2986 0.7014 0.1439
S 0.3041 0.6959 0.8173
S 0.3621 0.6379 0.4810
S 0.4960 0.5040 0.7675
S 0.5040 0.4960 0.2675
S 0.6379 0.3621 0.9810
S 0.6959 0.3041 0.3173
S 0.7014 0.2986 0.6439
S 0.9646 0.0354 0.0726

**Formation energy (no corrections)**: -13.00 eV per formula unit
**Raw total energy**: -5.268 eV per atom
**M_tot**: 0.0 μB per cell

No. 3
Below is a relaxed CoPW crystal, with properties calculated at the GGA-PBE level.

Cell: 2.7671 2.7671 5.8995 Å, 90.00 90.00 120.00°
Atoms (fractional coordinates):
Co 0.0000 0.0000 0.0000
P 0.6667 0.3333 0.2792
W 0.3333 0.6667 0.6367

**Raw total energy**: -8.399 eV per atom
**Calculated formation energy**: 0.091 eV per atom
**M_tot**: 0.4 μB per cell

No. 4
Below is a relaxed YCdHg crystal, with properties calculated at the GGA-PBE level.

Cell: 6.3664 6.3664 6.3664 Å, 147.48 147.48 46.65°
Atoms (fractional coordinates):
Y 0.0000 0.0000 0.0000
Cd 0.3217 0.3217 0.0000
Hg 0.6667 0.6667 0.0000

**Raw total energy**: -2.860 eV per atom
**Calculated formation energy**: -0.300 eV per atom
**M_tot**: 0.3 μB per cell

No. 5
Below is a relaxed KFeP2 crystal, with properties calculated at the GGA-PBE level.

Cell: 5.3848 5.3848 2.6393 Å, 90.00 90.00 109.09°
Atoms (fractional coordinates):
K 0.0000 0.0000 0.0000
Fe 0.5000 0.5000 0.0000
P 0.0000 0.5000 0.5000
P 0.5000 0.0000 0.5000

**ΔE to the lowest computed polymorph**: 356.1 kJ/mol of formula units
**Raw total energy**: -4.431 eV per atom
**Calculated formation energy**: 0.664 eV per atom
**M_tot**: 3.4 μB per cell

No. 6
Below is a relaxed KYTl3 crystal, with properties calculated at the GGA-PBE level.

Cell: 6.0004 6.0004 6.0004 Å, 90.00 90.00 90.00°
Atoms (fractional coordinates):
K 0.0000 0.0000 0.0000
Y 0.5000 0.5000 0.5000
Tl 0.0000 0.5000 0.5000
Tl 0.5000 0.0000 0.5000
Tl 0.5000 0.5000 0.0000

**ΔE to the lowest computed polymorph**: 0.0 kJ/mol of formula units
**Raw total energy**: -2.760 eV per atom
**Calculated formation energy**: 0.172 eV per atom
**M_tot**: 0.0 μB per cell

No. 7
Below is a relaxed Mg17Zn11Ru crystal, with properties calculated at the GGA-PBE level.

Cell: 8.8835 8.8835 8.7703 Å, 109.02 109.02 109.75°
Atoms (fractional coordinates):
Mg 0.0000 0.0000 0.0000
Mg 0.3011 0.7027 0.6649
Mg 0.3049 0.6091 0.9731
Mg 0.3233 0.3233 0.0715
Mg 0.3262 0.3262 0.7019
Mg 0.3986 0.9989 0.0393
Mg 0.4030 0.6745 0.3558
Mg 0.5917 0.5917 0.6470
Mg 0.6091 0.3049 0.9731
Mg 0.6538 0.9815 0.3500
Mg 0.6700 0.9959 0.7661
Mg 0.6745 0.4030 0.3558
Mg 0.7027 0.3011 0.6649
Mg 0.9815 0.6538 0.3500
Mg 0.9851 0.9851 0.3472
Mg 0.9959 0.6700 0.7661
Mg 0.9989 0.3986 0.0393
Zn 0.1729 0.9885 0.7265
Zn 0.1784 0.3583 0.3595
Zn 0.1776 0.8102 0.1703
Zn 0.3524 0.9871 0.5420
Zn 0.3583 0.1784 0.3595
Zn 0.6337 0.8174 0.9944
Zn 0.8046 0.8046 0.5347
Zn 0.8102 0.1776 0.1703
Zn 0.8174 0.6337 0.9944
Zn 0.9871 0.3524 0.5420
Zn 0.9885 0.1729 0.7265
Ru 0.6354 0.6354 0.1805

**Raw total energy**: -1.822 eV per atom
**Calculated formation energy**: -0.084 eV per atom
**M_tot**: 0.0 μB per cell

No. 8
Below is a relaxed Rb2In2Sb3 crystal, with properties calculated at the GGA-PBE level.

Cell: 15.8475 7.7453 17.6705 Å, 90.00 90.52 90.00°
Atoms (fractional coordinates):
Rb 0.0568 0.0560 0.1036
Rb 0.0568 0.4440 0.6036
Rb 0.1534 0.5485 0.0207
Rb 0.1534 0.9515 0.5207
Rb 0.3571 0.0303 0.0068
Rb 0.3571 0.4697 0.5068
Rb 0.4225 0.5324 0.1115
Rb 0.4225 0.9676 0.6115
Rb 0.5775 0.0324 0.3885
Rb 0.5775 0.4676 0.8885
Rb 0.6429 0.5303 0.4932
Rb 0.6429 0.9697 0.9932
Rb 0.8466 0.0485 0.4793
Rb 0.8466 0.4515 0.9793
Rb 0.9432 0.5560 0.3964
Rb 0.9432 0.9440 0.8964
In 0.0932 0.7397 0.2592
In 0.0932 0.7603 0.7592
In 0.1850 0.2208 0.3307
In 0.1850 0.2792 0.8307
In 0.3181 0.7368 0.3229
In 0.3181 0.7632 0.8229
In 0.4076 0.2109 0.2702
In 0.4076 0.2891 0.7702
In 0.5924 0.7109 0.2298
In 0.5924 0.7891 0.7298
In 0.6819 0.2368 0.1771
In 0.6819 0.2632 0.6771
In 0.8150 0.7208 0.1693
In 0.8150 0.7792 0.6693
In 0.9068 0.2397 0.2408
In 0.9068 0.2603 0.7408
Sb 0.0237 0.0398 0.3377
Sb 0.0237 0.4602 0.8377
Sb 0.1702 0.5650 0.3893
Sb 0.1702 0.9350 0.8893
Sb 0.2483 0.6651 0.6749
Sb 0.2483 0.8349 0.1749
Sb 0.2528 0.2080 0.1792
Sb 0.2528 0.2920 0.6792
Sb 0.3368 0.0544 0.4050
Sb 0.3368 0.4456 0.9050
Sb 0.4734 0.5367 0.3281
Sb 0.4734 0.9633 0.8281
Sb 0.5266 0.0367 0.1719
Sb 0.5266 0.4633 0.6719
Sb 0.6632 0.5544 0.0950
Sb 0.6632 0.9456 0.5950
Sb 0.7472 0.7080 0.3208
Sb 0.7472 0.7920 0.8208
Sb 0.7517 0.1651 0.8251
Sb 0.7517 0.3349 0.3251
Sb 0.8298 0.0650 0.1107
Sb 0.8298 0.4350 0.6107
Sb 0.9763 0.5398 0.1623
Sb 0.9763 0.9602 0.6623

**ΔE to the lowest computed polymorph**: 0.0 kJ/mol of formula units
**Formation energy (no corrections)**: -2.50 eV per formula unit
**Raw total energy**: -3.182 eV per atom
**M_tot**: 0.0 μB per cell

Copy entry 3 word for word.
Below is a relaxed CoPW crystal, with properties calculated at the GGA-PBE level.

Cell: 2.7671 2.7671 5.8995 Å, 90.00 90.00 120.00°
Atoms (fractional coordinates):
Co 0.0000 0.0000 0.0000
P 0.6667 0.3333 0.2792
W 0.3333 0.6667 0.6367

**Raw total energy**: -8.399 eV per atom
**Calculated formation energy**: 0.091 eV per atom
**M_tot**: 0.4 μB per cell